GaCoIr2 after structural relaxation. Source: Alexandria, functional PBE.

```
data_GaCoIr2
_symmetry_space_group_name_H-M 'R 3 m'
_symmetry_Int_Tables_number 160
_symmetry_space_group_name_Hall 'R 3 -2"'
_cell_length_a 4.1734
_cell_length_b 4.1734
_cell_length_c 12.0496
_cell_angle_alpha 90.00
_cell_angle_beta 90.00
_cell_angle_gamma 120.00
loop_
_atom_site_label
_atom_site_type_symbol
_atom_site_fract_x
_atom_site_fract_y
_atom_site_fract_z
Ga1 Ga 0.0000 0.0000 0.0000
Co1 Co 0.0000 0.0000 0.2044
Ir1 Ir 0.0000 0.0000 0.4214
Ir2 Ir 0.0000 0.0000 0.6291
```

- ΔE_f (meV per atom) = 142
- D(E_F) (states/eV per atom) = 0.95
- electronic total energy (eV per atom) = -6.822



GaCoIr3 after structural relaxation. Source: Alexandria, functional PBE.

```
data_GaCoIr3
_symmetry_space_group_name_H-M 'P m -3 m'
_symmetry_Int_Tables_number 221
_symmetry_space_group_name_Hall '-P 4 2 3'
_cell_length_a 4.512
_cell_length_b 4.512
_cell_length_c 4.512
_cell_angle_alpha 90.00
_cell_angle_beta 90.00
_cell_angle_gamma 90.00
loop_
_atom_site_label
_atom_site_type_symbol
_atom_site_fract_x
_atom_site_fract_y
_atom_site_fract_z
Ga1 Ga 0.000 0.000 0.000
Co1 Co 0.500 0.500 0.500
Ir1 Ir 0.000 0.000 0.500
```

- ΔE_f (meV per atom) = 1537
- D(E_F) (states/eV per atom) = 1.62
- electronic total energy (eV per atom) = -5.806
- excess energy over the best structure of this formula in the dataset (meV per atom) = 260.4



Please write out number 1 again, unchanged.
GaCoIr2 after structural relaxation. Source: Alexandria, functional PBE.

```
data_GaCoIr2
_symmetry_space_group_name_H-M 'R 3 m'
_symmetry_Int_Tables_number 160
_symmetry_space_group_name_Hall 'R 3 -2"'
_cell_length_a 4.1734
_cell_length_b 4.1734
_cell_length_c 12.0496
_cell_angle_alpha 90.00
_cell_angle_beta 90.00
_cell_angle_gamma 120.00
loop_
_atom_site_label
_atom_site_type_symbol
_atom_site_fract_x
_atom_site_fract_y
_atom_site_fract_z
Ga1 Ga 0.0000 0.0000 0.0000
Co1 Co 0.0000 0.0000 0.2044
Ir1 Ir 0.0000 0.0000 0.4214
Ir2 Ir 0.0000 0.0000 0.6291
```

- ΔE_f (meV per atom) = 142
- D(E_F) (states/eV per atom) = 0.95
- electronic total energy (eV per atom) = -6.822



Which value of ΔE_f does entry 2 give?
1537 meV per atom



The lowest electronic total energy belongs to which entry?
GaCoIr2